No. 1
First-principles (PBE-GGA) data for crystalline TaRuAu4 at its relaxed geometry, as listed in Alexandria via LeMat-Bulk.

Unit cell a=5.338 b=5.338 c=5.338 alpha=60.00 beta=60.00 gamma=60.00
Positions (direct):
Ta: 0.000 0.000 0.000
Ru: 0.250 0.250 0.250
Au: 0.125 0.625 0.625
Au: 0.625 0.125 0.625
Au: 0.625 0.625 0.125
Au: 0.625 0.625 0.625

Summary:
Formation enthalpy at 0 K (meV/atom): 497.7
V (Å³/atom): 17.92

---

No. 2
First-principles (PBE-GGA) data for crystalline TaRu3Au at its relaxed geometry, as listed in Alexandria via LeMat-Bulk.

Unit cell a=4.740 b=4.740 c=4.740 alpha=90.00 beta=90.00 gamma=90.00
Positions (direct):
Ta: 0.000 0.000 0.000
Ru: 0.000 0.500 0.500
Ru: 0.500 0.000 0.500
Ru: 0.500 0.500 0.000
Au: 0.500 0.500 0.500

Summary:
Offset from the most stable computed form (eV per atom): 0.757
Formation enthalpy at 0 K (meV/atom): 2257.4
V (Å³/atom): 21.30

---

No. 3
First-principles (PBE-GGA) data for crystalline Ta3RuAu at its relaxed geometry, as listed in Alexandria via LeMat-Bulk.

Unit cell a=4.763 b=4.763 c=4.763 alpha=90.00 beta=90.00 gamma=90.00
Positions (direct):
Ta: 0.000 0.000 0.500
Ta: 0.000 0.500 0.000
Ta: 0.500 0.000 0.000
Ru: 0.000 0.000 0.000
Au: 0.500 0.500 0.500

Summary:
Offset from the most stable computed form (eV per atom): 0.000
Formation enthalpy at 0 K (meV/atom): 1034.2
V (Å³/atom): 21.62

---

No. 4
First-principles (PBE-GGA) data for crystalline TaTeRuAu2 at its relaxed geometry, as listed in Alexandria via LeMat-Bulk.

Unit cell a=4.974 b=4.974 c=5.134 alpha=90.00 beta=90.00 gamma=90.00
Positions (direct):
Ta: 0.000 0.000 0.000
Te: 0.000 0.000 0.500
Ru: 0.500 0.500 0.000
Au: 0.000 0.500 0.500
Au: 0.500 0.000 0.500

Summary:
Raw formation energy (meV/atom): 1812
V (Å³/atom): 25.40

---

No. 5
First-principles (PBE-GGA) data for crystalline YTaRuAu2 at its relaxed geometry, as listed in Alexandria via LeMat-Bulk.

Unit cell a=5.102 b=5.102 c=4.698 alpha=90.00 beta=90.00 gamma=90.00
Positions (direct):
Y: 0.000 0.000 0.000
Ta: 0.500 0.500 0.500
Ru: 0.000 0.000 0.500
Au: 0.000 0.500 0.000
Au: 0.500 0.000 0.000

Summary:
Formation enthalpy at 0 K (meV/atom): 1622.7
V (Å³/atom): 24.45

---

No. 6
First-principles (PBE-GGA) data for crystalline Tb4RuAu at its relaxed geometry, as listed in Alexandria via LeMat-Bulk.

Unit cell a=7.972 b=7.972 c=6.295 alpha=106.78 beta=106.78 gamma=111.40
Positions (direct):
Tb: 0.056 0.706 0.911
Tb: 0.223 0.356 0.702
Tb: 0.294 0.944 0.589
Tb: 0.356 0.223 0.202
Tb: 0.644 0.777 0.798
Tb: 0.706 0.056 0.411
Tb: 0.777 0.644 0.298
Tb: 0.944 0.294 0.089
Ru: 0.002 0.998 0.250
Ru: 0.998 0.002 0.750
Au: 0.369 0.631 0.250
Au: 0.631 0.369 0.750

Summary:
Offset from the most stable computed form (eV per atom): 0.000
Formation enthalpy at 0 K (meV/atom): -467.5
V (Å³/atom): 26.66

---

No. 7
First-principles (PBE-GGA) data for crystalline Tb4RuAu at its relaxed geometry, as listed in Alexandria via LeMat-Bulk.

Unit cell a=7.113 b=6.929 c=6.931 alpha=90.00 beta=93.25 gamma=90.00
Positions (direct):
Tb: 0.155 0.164 0.183
Tb: 0.155 0.336 0.683
Tb: 0.318 0.661 0.148
Tb: 0.318 0.839 0.648
Tb: 0.682 0.161 0.352
Tb: 0.682 0.339 0.852
Tb: 0.845 0.664 0.317
Tb: 0.845 0.836 0.817
Ru: 0.000 0.000 0.500
Ru: 0.000 0.500 0.000
Au: 0.500 0.000 0.000
Au: 0.500 0.500 0.500

Summary:
Offset from the most stable computed form (eV per atom): 0.084
Formation enthalpy at 0 K (meV/atom): -383.9
V (Å³/atom): 28.42

---

No. 8
First-principles (PBE-GGA) data for crystalline Tb8Ru2Au at its relaxed geometry, as listed in Alexandria via LeMat-Bulk.

Unit cell a=7.697 b=7.697 c=5.631 alpha=98.49 beta=98.49 gamma=111.89
Positions (direct):
Tb: 0.069 0.331 0.593
Tb: 0.235 0.765 0.000
Tb: 0.331 0.069 0.593
Tb: 0.375 0.375 0.196
Tb: 0.625 0.625 0.804
Tb: 0.669 0.931 0.407
Tb: 0.765 0.235 0.000
Tb: 0.931 0.669 0.407
Ru: 0.309 0.691 0.500
Ru: 0.691 0.309 0.500
Au: 0.000 0.000 0.000

Summary:
Formation enthalpy at 0 K (meV/atom): -263.5
V (Å³/atom): 27.15

---

No. 9
First-principles (PBE-GGA) data for crystalline Tb7Ru2Au2 at its relaxed geometry, as listed in Alexandria via LeMat-Bulk.

Unit cell a=6.671 b=6.671 c=7.032 alpha=90.00 beta=90.00 gamma=108.49
Positions (direct):
Tb: 0.000 0.000 0.000
Tb: 0.000 0.500 0.260
Tb: 0.000 0.500 0.740
Tb: 0.500 0.000 0.260
Tb: 0.500 0.000 0.740
Tb: 0.500 0.500 0.249
Tb: 0.500 0.500 0.751
Ru: 0.295 0.705 0.000
Ru: 0.705 0.295 0.000
Au: 0.184 0.184 0.500
Au: 0.816 0.816 0.500

Summary:
Offset from the most stable computed form (eV per atom): 0.129
Formation enthalpy at 0 K (meV/atom): -366.0
V (Å³/atom): 26.98

---

No. 10
First-principles (PBE-GGA) data for crystalline Tb4RuAu3 at its relaxed geometry, as listed in Alexandria via LeMat-Bulk.

Unit cell a=3.528 b=3.528 c=14.563 alpha=90.00 beta=90.00 gamma=90.00
Positions (direct):
Tb: 0.000 0.000 0.115
Tb: 0.000 0.000 0.371
Tb: 0.000 0.000 0.629
Tb: 0.000 0.000 0.885
Ru: 0.500 0.500 0.000
Au: 0.500 0.500 0.245
Au: 0.500 0.500 0.500
Au: 0.500 0.500 0.755

Summary:
Formation enthalpy at 0 K (meV/atom): -732.4
V (Å³/atom): 22.66

---

No. 11
First-principles (PBE-GGA) data for crystalline Tb5Ru2Au2 at its relaxed geometry, as listed in Alexandria via LeMat-Bulk.

Unit cell a=8.443 b=8.443 c=7.647 alpha=90.00 beta=90.00 gamma=52.76
Positions (direct):
Tb: 0.000 0.000 0.000
Tb: 0.042 0.704 0.670
Tb: 0.204 0.542 0.170
Tb: 0.296 0.958 0.670
Tb: 0.458 0.796 0.170
Tb: 0.500 0.500 0.500
Tb: 0.542 0.204 0.830
Tb: 0.704 0.042 0.330
Tb: 0.796 0.458 0.830
Tb: 0.958 0.296 0.330
Ru: 0.131 0.869 0.368
Ru: 0.369 0.631 0.868
Ru: 0.631 0.369 0.132
Ru: 0.869 0.131 0.632
Au: 0.209 0.209 0.000
Au: 0.291 0.291 0.500
Au: 0.709 0.709 0.500
Au: 0.791 0.791 0.000

Summary:
Formation enthalpy at 0 K (meV/atom): -570.5
V (Å³/atom): 24.11

---

No. 12
First-principles (PBE-GGA) data for crystalline Tb3RuAu2 at its relaxed geometry, as listed in Alexandria via LeMat-Bulk.

Unit cell a=3.523 b=3.523 c=10.808 alpha=90.00 beta=90.00 gamma=90.00
Positions (direct):
Tb: 0.000 0.000 0.000
Tb: 0.000 0.000 0.346
Tb: 0.000 0.000 0.654
Ru: 0.500 0.500 0.500
Au: 0.500 0.500 0.171
Au: 0.500 0.500 0.829

Summary:
Formation enthalpy at 0 K (meV/atom): -701.9
V (Å³/atom): 22.35

---

Number 2 is which compound? TaRu3Au

---

Number 6 is which compound? Tb4RuAu